Record 1
Compound: VIn3Se
Source: Alexandria
Functional: GGA-PBE
Structure: optimized geometry

```
5
Lattice="-1.544 2.256 -4.587 -5.111 -0.745 1.354 -0.068 4.782 2.374" Properties=species:S:1:pos:R:3 pbc="T T T"
In -0.772 1.128 -2.294
In -0.034 2.391 1.187
V 0.000 0.000 0.000
Se -3.361 3.147 -0.429
In -2.556 -0.372 0.677
```

Values from the calculation:
The density of states at the Fermi level is 6.724 states/eV/cell. The calculation puts the relative energy among the computed polymorphs at 0.0 kJ per mole of atoms. As for the space group: No. 221. The value obtained for the magnetization is 4.63 μB/cell. The volume comes out at 30.5 A^3/atom.


Record 2
Compound: VInSe2
Source: Alexandria
Functional: GGA-PBE
Structure: optimized geometry

```
4
Lattice="-2.838 0.153 1.775 -2.910 -0.871 -1.415 -0.681 -8.771 2.831" Properties=species:S:1:pos:R:3 pbc="T T T"
V -3.831 -0.481 0.240
Se -1.700 -1.733 0.594
Se -0.896 -7.282 2.358
In -3.215 -4.738 1.593
```

Values from the calculation:
The density of states at the Fermi level is 2.604 states/eV/cell. The value obtained for the raw total energy is -20.9 eV/f.u. As for the space group: No. 160. The value obtained for the magnetization is 0.00 μB/cell. The volume comes out at 22.0 A^3/atom.


Record 3
Compound: VInSe
Source: Alexandria
Functional: GGA-PBE
Structure: optimized geometry

```
12
Lattice="5.966 0.000 -0.125 0.000 5.172 0.000 -2.801 0.000 9.127" Properties=species:S:1:pos:R:3 pbc="T T T"
V 3.043 1.293 2.981
In 1.561 3.728 3.469
Se 4.500 2.267 1.312
V 3.105 3.878 5.958
In 1.603 1.443 5.533
V 0.060 1.293 3.044
V 0.122 3.879 6.021
Se -1.335 2.905 7.690
Se 1.517 0.319 1.375
In 4.544 4.029 3.407
In -1.380 1.143 5.595
Se 1.648 4.853 7.627
```

Values from the calculation:
The density of states at the Fermi level is 9.210 states/eV/cell. The value obtained for the raw total energy is -15.7 eV/f.u. As for the space group: No. 14. The value obtained for the magnetization is 4.11 μB/cell. The volume comes out at 23.3 A^3/atom.